# 1
VASP calculation (GGA-PBE) on crystalline RbLaOsAu2 at its relaxed geometry.

Calculated values
- volume (Å³/f.u.) = 169.5
- calculated total energy (eV/atom) = -2.72
- size of the total moment (μB/f.u.) = 2.08
- ΔH_f (0 K) (eV/atom) = 2.02

Cell lengths 5.353, 5.353, 5.914 Å; angles 90.00, 90.00, 90.00 degrees
Positions (direct):
Rb1 0.000 0.000 0.000
La1 0.000 0.000 0.500
Os1 0.500 0.500 0.500
Au1 0.000 0.500 0.000
Au2 0.500 0.000 0.000

# 2
VASP calculation (GGA-PBE) on crystalline LaScOs2Au at its relaxed geometry.

Calculated values
- volume (Å³/f.u.) = 127.3
- calculated total energy (eV/atom) = -5.78
- size of the total moment (μB/f.u.) = 0.00
- ΔH_f (0 K) (eV/atom) = 1.61

Cell lengths 4.858, 4.858, 5.395 Å; angles 90.00, 90.00, 90.00 degrees
Positions (direct):
La1 0.000 0.000 0.000
Sc1 0.500 0.500 0.500
Os1 0.000 0.500 0.000
Os2 0.500 0.000 0.000
Au1 0.000 0.000 0.500

# 3
VASP calculation (GGA-PBE) on crystalline LaTbOsAu at its relaxed geometry.

Calculated values
- volume (Å³/f.u.) = 92.6
- calculated total energy (eV/atom) = -6.38
- size of the total moment (μB/f.u.) = 0.00
- ΔH_f (0 K) (eV/atom) = -0.36

Cell lengths 5.077, 5.077, 5.077 Å; angles 60.00, 60.00, 60.00 degrees
Positions (direct):
La1 0.000 0.000 0.000
Tb1 0.500 0.500 0.500
Os1 0.250 0.250 0.250
Au1 0.750 0.750 0.750

# 4
VASP calculation (GGA-PBE) on crystalline LaOsWAu2 at its relaxed geometry.

Calculated values
- volume (Å³/f.u.) = 136.9
- calculated total energy (eV/atom) = -5.42
- size of the total moment (μB/f.u.) = 2.89
- ΔH_f (0 K) (eV/atom) = 1.71

Cell lengths 4.990, 4.990, 5.497 Å; angles 90.00, 90.00, 90.00 degrees
Positions (direct):
La1 0.000 0.000 0.000
Os1 0.500 0.500 0.000
W1 0.000 0.000 0.500
Au1 0.000 0.500 0.500
Au2 0.500 0.000 0.500

# 5
VASP calculation (GGA-PBE) on crystalline La2YOsAu at its relaxed geometry.

Calculated values
- volume (Å³/f.u.) = 163.5
- calculated total energy (eV/atom) = -4.74
- size of the total moment (μB/f.u.) = 1.55
- ΔH_f (0 K) (eV/atom) = 1.43

Cell lengths 5.726, 5.726, 4.986 Å; angles 90.00, 90.00, 90.00 degrees
Positions (direct):
La1 0.000 0.500 0.000
La2 0.500 0.000 0.000
Y1 0.000 0.000 0.000
Os1 0.500 0.500 0.500
Au1 0.000 0.000 0.500

# 6
VASP calculation (GGA-PBE) on crystalline LaYOsAu at its relaxed geometry.

Calculated values
- volume (Å³/f.u.) = 92.4
- calculated total energy (eV/atom) = -6.83
- size of the total moment (μB/f.u.) = 0.00
- ΔH_f (0 K) (eV/atom) = -0.36

Cell lengths 5.074, 5.074, 5.074 Å; angles 60.00, 60.00, 60.00 degrees
Positions (direct):
La1 0.000 0.000 0.000
Y1 0.500 0.500 0.500
Os1 0.250 0.250 0.250
Au1 0.750 0.750 0.750

# 7
VASP calculation (GGA-PBE) on crystalline LaPAu3 at its relaxed geometry.

Calculated values
- volume (Å³/f.u.) = 193.2
- calculated total energy (eV/atom) = -3.17
- size of the total moment (μB/f.u.) = 3.00
- ΔH_f (0 K) (eV/atom) = 0.86
- distance to the lowest polymorph of the same formula (eV per atom) = 1.176

Cell lengths 5.781, 5.781, 5.781 Å; angles 90.00, 90.00, 90.00 degrees
Positions (direct):
La1 0.000 0.000 0.000
P1 0.500 0.500 0.500
Au1 0.000 0.000 0.500
Au2 0.000 0.500 0.000
Au3 0.500 0.000 0.000

# 8
VASP calculation (GGA-PBE) on crystalline La2PAu at its relaxed geometry.

Calculated values
- volume (Å³/f.u.) = 115.5
- calculated total energy (eV/atom) = -5.74
- size of the total moment (μB/f.u.) = 0.46
- ΔH_f (0 K) (eV/atom) = -1.11

Cell lengths 4.227, 4.227, 7.853 Å; angles 105.68, 105.68, 60.07 degrees
Positions (direct):
La1 0.242 0.242 0.226
La2 0.758 0.758 0.774
P1 0.500 0.500 0.000
Au1 0.000 0.000 0.500

# 9
VASP calculation (GGA-PBE) on crystalline La2PAu at its relaxed geometry.

Calculated values
- volume (Å³/f.u.) = 96.0
- calculated total energy (eV/atom) = -4.90
- size of the total moment (μB/f.u.) = 0.00
- ΔH_f (0 K) (eV/atom) = -0.27

Cell lengths 5.139, 5.139, 5.139 Å; angles 60.00, 60.00, 60.00 degrees
Positions (direct):
La1 0.000 0.000 0.000
La2 0.250 0.250 0.250
P1 0.750 0.750 0.750
Au1 0.500 0.500 0.500

# 10
VASP calculation (GGA-PBE) on crystalline LaP2Au at its relaxed geometry.

Calculated values
- volume (Å³/f.u.) = 94.4
- calculated total energy (eV/atom) = -5.44
- size of the total moment (μB/f.u.) = 0.00
- ΔH_f (0 K) (eV/atom) = -0.69

Cell lengths 4.611, 4.611, 6.943 Å; angles 121.34, 121.34, 51.57 degrees
Positions (direct):
La1 0.000 0.000 0.000
P1 0.452 0.452 0.270
P2 0.548 0.548 0.730
Au1 0.000 0.000 0.500

# 11
VASP calculation (GGA-PBE) on crystalline LaPAu3 at its relaxed geometry.

Calculated values
- volume (Å³/f.u.) = 114.8
- calculated total energy (eV/atom) = -4.35
- size of the total moment (μB/f.u.) = 0.00
- ΔH_f (0 K) (eV/atom) = -0.31
- distance to the lowest polymorph of the same formula (eV per atom) = 0.000

Cell lengths 4.859, 4.859, 4.859 Å; angles 90.00, 90.00, 90.00 degrees
Positions (direct):
La1 0.000 0.000 0.000
P1 0.500 0.500 0.500
Au1 0.000 0.500 0.500
Au2 0.500 0.000 0.500
Au3 0.500 0.500 0.000

# 12
VASP calculation (GGA-PBE) on crystalline LaP2Au at its relaxed geometry.

Calculated values
- volume (Å³/f.u.) = 84.2
- calculated total energy (eV/atom) = -4.97
- size of the total moment (μB/f.u.) = 0.00
- ΔH_f (0 K) (eV/atom) = -0.21

Cell lengths 3.752, 3.752, 5.980 Å; angles 90.00, 90.00, 90.00 degrees
Positions (direct):
La1 0.000 0.000 0.000
P1 0.500 0.500 0.313
P2 0.500 0.500 0.687
Au1 0.000 0.000 0.500

# 13
VASP calculation (GGA-PBE) on crystalline LaP4Au at its relaxed geometry.

Calculated values
- volume (Å³/f.u.) = 114.0
- calculated total energy (eV/atom) = -5.13
- size of the total moment (μB/f.u.) = 0.00
- ΔH_f (0 K) (eV/atom) = -0.16

Cell lengths 5.442, 5.442, 5.442 Å; angles 60.00, 60.00, 60.00 degrees
Positions (direct):
La1 0.000 0.000 0.000
P1 0.174 0.609 0.609
P2 0.609 0.174 0.609
P3 0.609 0.609 0.174
P4 0.609 0.609 0.609
Au1 0.250 0.250 0.250

# 14
VASP calculation (GGA-PBE) on crystalline LaP2Au at its relaxed geometry.

Calculated values
- volume (Å³/f.u.) = 89.3
- calculated total energy (eV/atom) = -5.59
- size of the total moment (μB/f.u.) = 0.00
- ΔH_f (0 K) (eV/atom) = -0.84

Cell lengths 5.671, 5.671, 4.193 Å; angles 107.70, 107.70, 44.52 degrees
Positions (direct):
La1 0.000 0.000 0.000
P1 0.433 0.433 0.421
P2 0.649 0.649 0.762
Au1 0.253 0.253 0.701

# 15
VASP calculation (GGA-PBE) on crystalline LaP2Au at its relaxed geometry.

Calculated values
- volume (Å³/f.u.) = 85.7
- calculated total energy (eV/atom) = -5.41
- size of the total moment (μB/f.u.) = 0.00
- ΔH_f (0 K) (eV/atom) = -0.65

Cell lengths 5.011, 5.011, 5.011 Å; angles 130.91, 106.26, 93.73 degrees
Positions (direct):
La1 0.000 0.000 0.000
P1 0.309 0.809 0.500
P2 0.691 0.191 0.500
Au1 0.500 0.500 0.000

# 16
VASP calculation (GGA-PBE) on crystalline LaP2Au at its relaxed geometry.

Calculated values
- volume (Å³/f.u.) = 90.0
- calculated total energy (eV/atom) = -5.17
- size of the total moment (μB/f.u.) = 0.00
- ΔH_f (0 K) (eV/atom) = -0.41

Cell lengths 3.881, 3.881, 5.978 Å; angles 90.00, 90.00, 90.00 degrees
Positions (direct):
La1 0.000 0.000 0.000
P1 0.000 0.000 0.514
P2 0.500 0.500 0.153
Au1 0.500 0.500 0.576

# 17
VASP calculation (GGA-PBE) on crystalline La2PAu at its relaxed geometry.

Calculated values
- volume (Å³/f.u.) = 102.3
- calculated total energy (eV/atom) = -5.50
- size of the total moment (μB/f.u.) = 0.00
- ΔH_f (0 K) (eV/atom) = -0.87

Cell lengths 6.328, 6.328, 6.328 Å; angles 140.35, 140.35, 57.32 degrees
Positions (direct):
La1 0.000 0.000 0.000
La2 0.750 0.250 0.500
P1 0.250 0.750 0.500
Au1 0.500 0.500 0.000

# 18
VASP calculation (GGA-PBE) on crystalline La2PAu at its relaxed geometry.

Calculated values
- volume (Å³/f.u.) = 101.4
- calculated total energy (eV/atom) = -5.66
- size of the total moment (μB/f.u.) = 0.00
- ΔH_f (0 K) (eV/atom) = -1.02

Cell lengths 3.733, 3.741, 7.269 Å; angles 90.00, 92.38, 90.00 degrees
Positions (direct):
La1 0.018 0.000 0.271
La2 0.982 0.000 0.729
P1 0.500 0.500 0.500
Au1 0.500 0.500 0.000

# 19
VASP calculation (GGA-PBE) on crystalline LaP2Au at its relaxed geometry.

Calculated values
- volume (Å³/f.u.) = 83.1
- calculated total energy (eV/atom) = -5.18
- size of the total moment (μB/f.u.) = 0.00
- ΔH_f (0 K) (eV/atom) = -0.42

Cell lengths 5.653, 5.653, 5.653 Å; angles 136.99, 136.99, 62.45 degrees
Positions (direct):
La1 0.000 0.000 0.000
P1 0.250 0.750 0.500
P2 0.500 0.500 0.000
Au1 0.750 0.250 0.500

# 20
VASP calculation (GGA-PBE) on crystalline LaP3Au at its relaxed geometry.

Calculated values
- volume (Å³/f.u.) = 161.1
- calculated total energy (eV/atom) = -3.70
- size of the total moment (μB/f.u.) = 0.00
- ΔH_f (0 K) (eV/atom) = 1.18
- distance to the lowest polymorph of the same formula (eV per atom) = 1.150

Cell lengths 5.441, 5.441, 5.441 Å; angles 90.00, 90.00, 90.00 degrees
Positions (direct):
La1 0.000 0.000 0.000
P1 0.000 0.000 0.500
P2 0.000 0.500 0.000
P3 0.500 0.000 0.000
Au1 0.500 0.500 0.500

# 21
VASP calculation (GGA-PBE) on crystalline LaPAu4 at its relaxed geometry.

Calculated values
- volume (Å³/f.u.) = 125.8
- calculated total energy (eV/atom) = -4.24
- size of the total moment (μB/f.u.) = 0.00
- ΔH_f (0 K) (eV/atom) = -0.34

Cell lengths 5.624, 5.624, 5.624 Å; angles 60.00, 60.00, 60.00 degrees
Positions (direct):
La1 0.000 0.000 0.000
P1 0.750 0.750 0.750
Au1 0.375 0.375 0.375
Au2 0.375 0.375 0.874
Au3 0.375 0.874 0.375
Au4 0.874 0.375 0.375

# 22
VASP calculation (GGA-PBE) on crystalline LaP2Au at its relaxed geometry.

Calculated values
- volume (Å³/f.u.) = 92.1
- calculated total energy (eV/atom) = -5.21
- size of the total moment (μB/f.u.) = 0.00
- ΔH_f (0 K) (eV/atom) = -0.46

Cell lengths 3.941, 3.941, 6.701 Å; angles 90.00, 90.00, 117.79 degrees
Positions (direct):
La1 0.000 0.000 0.000
P1 0.500 0.500 0.292
P2 0.500 0.500 0.708
Au1 0.000 0.000 0.500

# 23
VASP calculation (GGA-PBE) on crystalline LaP2Au at its relaxed geometry.

Calculated values
- volume (Å³/f.u.) = 82.7
- calculated total energy (eV/atom) = -5.10
- size of the total moment (μB/f.u.) = 0.00
- ΔH_f (0 K) (eV/atom) = -0.34

Cell lengths 3.521, 3.521, 6.675 Å; angles 90.00, 90.00, 90.00 degrees
Positions (direct):
La1 0.000 0.000 0.000
P1 0.000 0.000 0.427
P2 0.500 0.500 0.317
Au1 0.500 0.500 0.715

# 24
VASP calculation (GGA-PBE) on crystalline LaP2Au at its relaxed geometry.

Calculated values
- volume (Å³/f.u.) = 90.8
- calculated total energy (eV/atom) = -5.50
- size of the total moment (μB/f.u.) = 0.00
- ΔH_f (0 K) (eV/atom) = -0.74

Cell lengths 4.207, 3.960, 5.454 Å; angles 90.00, 91.52, 90.00 degrees
Positions (direct):
La1 0.000 0.000 0.000
P1 0.474 0.500 0.793
P2 0.526 0.500 0.207
Au1 0.500 0.000 0.500

# 25
VASP calculation (GGA-PBE) on crystalline LaP3Au at its relaxed geometry.

Calculated values
- volume (Å³/f.u.) = 114.4
- calculated total energy (eV/atom) = -4.85
- size of the total moment (μB/f.u.) = 0.00
- ΔH_f (0 K) (eV/atom) = 0.03
- distance to the lowest polymorph of the same formula (eV per atom) = 0.000

Cell lengths 4.855, 4.855, 4.855 Å; angles 90.00, 90.00, 90.00 degrees
Positions (direct):
La1 0.000 0.000 0.000
P1 0.000 0.500 0.500
P2 0.500 0.000 0.500
P3 0.500 0.500 0.000
Au1 0.500 0.500 0.500

# 26
VASP calculation (GGA-PBE) on crystalline LaP2Au at its relaxed geometry.

Calculated values
- volume (Å³/f.u.) = 84.2
- calculated total energy (eV/atom) = -5.30
- size of the total moment (μB/f.u.) = 0.00
- ΔH_f (0 K) (eV/atom) = -0.54

Cell lengths 5.479, 5.479, 5.479 Å; angles 140.47, 125.06, 69.78 degrees
Positions (direct):
La1 0.000 0.000 0.000
P1 0.307 0.807 0.500
P2 0.470 0.470 0.000
Au1 0.705 0.205 0.500

# 27
VASP calculation (GGA-PBE) on crystalline La2P2Au at its relaxed geometry.

Calculated values
- volume (Å³/f.u.) = 118.9
- calculated total energy (eV/atom) = -5.87
- size of the total moment (μB/f.u.) = 0.00
- ΔH_f (0 K) (eV/atom) = -1.08

Cell lengths 7.778, 7.778, 3.932 Å; angles 90.00, 90.00, 90.00 degrees
Positions (direct):
La1 0.154 0.346 0.000
La2 0.346 0.846 0.000
La3 0.654 0.154 0.000
La4 0.846 0.654 0.000
P1 0.159 0.659 0.500
P2 0.341 0.159 0.500
P3 0.659 0.841 0.500
P4 0.841 0.341 0.500
Au1 0.000 0.000 0.500
Au2 0.500 0.500 0.500

# 28
VASP calculation (GGA-PBE) on crystalline LaP2Au at its relaxed geometry.

Calculated values
- volume (Å³/f.u.) = 85.0
- calculated total energy (eV/atom) = -4.99
- size of the total moment (μB/f.u.) = 0.00
- ΔH_f (0 K) (eV/atom) = -0.23

Cell lengths 4.935, 4.935, 4.935 Å; angles 60.00, 60.00, 60.00 degrees
Positions (direct):
La1 0.000 0.000 0.000
P1 0.250 0.250 0.250
P2 0.500 0.500 0.500
Au1 0.750 0.750 0.750

# 29
VASP calculation (GGA-PBE) on crystalline La3PAu at its relaxed geometry.

Calculated values
- volume (Å³/f.u.) = 169.7
- calculated total energy (eV/atom) = -5.23
- size of the total moment (μB/f.u.) = 0.00
- ΔH_f (0 K) (eV/atom) = -0.54
- distance to the lowest polymorph of the same formula (eV per atom) = 0.000

Cell lengths 5.536, 5.536, 5.536 Å; angles 90.00, 90.00, 90.00 degrees
Positions (direct):
La1 0.000 0.000 0.500
La2 0.000 0.500 0.000
La3 0.500 0.000 0.000
P1 0.000 0.000 0.000
Au1 0.500 0.500 0.500

# 30
VASP calculation (GGA-PBE) on crystalline LaP2Au at its relaxed geometry.

Calculated values
- volume (Å³/f.u.) = 85.0
- calculated total energy (eV/atom) = -5.27
- size of the total moment (μB/f.u.) = 0.00
- ΔH_f (0 K) (eV/atom) = -0.51

Cell lengths 6.018, 6.018, 6.018 Å; angles 41.08, 41.08, 41.08 degrees
Positions (direct):
La1 0.000 0.000 0.000
P1 0.236 0.236 0.236
P2 0.764 0.764 0.764
Au1 0.500 0.500 0.500